Material: NaAgOs2O
Method: DFT, SCAN
State: PBEsol geometry

a b c (Å): 4.7352 4.7352 3.7656
angles (deg): 90.00 90.00 90.00
With the nearest neighbours (Å) after each atom.
Space group P4/mmm (No. 123)
Asymmetric unit:
Na: 0.0000 0.0000 0.0000 x1  2 O 1.88
Ag: 0.5000 0.5000 0.5000 x1  8 Os 3.02, 4 O 3.35
Os: 0.0000 0.5000 0.0000 x2  2 Na 2.37
O: 0.0000 0.0000 0.5000 x1  2 Na 1.88

Output
- Electronic total energy: -34.603 eV/atom
- Density of states at the Fermi level: 4.22 states/eV/f.u.

Material: NaTeIN2
Method: DFT, SCAN
State: PBEsol geometry

a b c (Å): 4.5552 4.5552 6.1951
angles (deg): 90.00 90.00 90.00
With the nearest neighbours (Å) after each atom.
Space group P4/mmm (No. 123)
Asymmetric unit:
Na: 0.0000 0.0000 0.0000 x1  4 N 2.28
Te: 0.5000 0.5000 0.5000 x1  4 I 3.22
I: 0.0000 0.0000 0.5000 x1  2 Na 3.10, 4 Te 3.22
N: 0.0000 0.5000 0.0000 x2  2 Na 2.28

Output
- Electronic total energy: -17.803 eV/atom
- Density of states at the Fermi level: 2.11 states/eV/f.u.